(1)
Computed, not measured: Ho2B3Os2 after structural relaxation at the GGA-PBE level of DFT.

Output
Formation energy from the elements = -1.32 eV per formula unit
Total moment = 0.000 μB/f.u.
SG = C2/m, No. 12

a b c (Å): 3.6417 5.7199 5.9806
angles (deg): 121.59 90.00 108.56
Positions (direct):
Ho  0.8734  0.7468  0.2277
Ho  0.1266  0.2532  0.7723
B  0.5000  0.0000  0.0000
B  0.6034  0.2068  0.3880
B  0.3966  0.7932  0.6120
Os  0.8416  0.6833  0.7122
Os  0.1584  0.3167  0.2878

(2)
Computed, not measured: PrPaCo2P2 after structural relaxation at the GGA-PBE level of DFT.

Output
Formation energy from the elements = -6.52 eV per formula unit
Total moment = 0.000 μB/f.u.
SG = P-3m1, No. 164

a b c (Å): 3.9121 3.9121 7.9261
angles (deg): 90.00 90.00 120.00
Positions (direct):
Pr  0.0000  0.0000  0.0000
Pa  0.0000  0.0000  0.5000
Co  0.6667  0.3333  0.2895
Co  0.3333  0.6667  0.7105
P  0.6667  0.3333  0.7505
P  0.3333  0.6667  0.2495

(3)
Computed, not measured: Tm2Si2HgRh5 after structural relaxation at the GGA-PBE level of DFT.

Output
Raw formation energy = -0.904 eV per atom
Total moment = 0.000 μB/f.u.
SG = P4/mbm, No. 127

a b c (Å): 3.5145 9.7330 9.7330
angles (deg): 90.00 90.00 90.00
Positions (direct):
Tm  0.0000  0.6746  0.1746
Tm  0.0000  0.3254  0.8254
Tm  0.0000  0.1746  0.3254
Tm  0.0000  0.8254  0.6746
Si  0.0000  0.1239  0.6239
Si  0.0000  0.8761  0.3761
Si  0.0000  0.6239  0.8761
Si  0.0000  0.3761  0.1239
Hg  0.0000  0.0000  0.0000
Hg  0.0000  0.5000  0.5000
Rh  0.5000  0.2172  0.0700
Rh  0.5000  0.7828  0.9300
Rh  0.5000  0.0700  0.7828
Rh  0.5000  0.7172  0.4300
Rh  0.5000  0.9300  0.2172
Rh  0.5000  0.2828  0.5700
Rh  0.5000  0.5700  0.7172
Rh  0.5000  0.4300  0.2828
Rh  0.5000  0.5000  0.0000
Rh  0.5000  0.0000  0.5000

(4)
Computed, not measured: Ca2NdPaO6 after structural relaxation at the GGA-PBE level of DFT.

Output
Raw formation energy = -3.341 eV per atom
Total moment = 0.000 μB/f.u.
SG = R3, No. 146

a b c (Å): 5.9505 5.9504 6.1848
angles (deg): 61.25 61.25 60.00
Positions (direct):
Ca  0.5314  0.5314  0.4059
Ca  0.0260  0.0260  0.9219
Nd  0.8081  0.8081  0.5756
Pa  0.3160  0.3159  0.0522
O  0.5973  0.2038  0.2502
O  0.2038  0.9487  0.2502
O  0.9487  0.5973  0.2502
O  0.4198  0.6861  0.7697
O  0.6861  0.1243  0.7697
O  0.1243  0.4198  0.7697

(5)
Computed, not measured: BaCaNb3 after structural relaxation at the GGA-PBE level of DFT.

Output
E above lowest polymorph = 0 meV per atom
Formation energy from the elements = 10.35 eV per formula unit
Total moment = 0.000 μB/f.u.
SG = Pm-3m, No. 221

a b c (Å): 5.1718 5.1718 5.1718
angles (deg): 90.00 90.00 90.00
Positions (direct):
Nb  0.0000  0.5000  0.0000
Nb  0.0000  0.0000  0.5000
Nb  0.5000  0.0000  0.0000
Ca  0.5000  0.5000  0.5000
Ba  0.0000  0.0000  0.0000

(6)
Computed, not measured: Ac2Zn6AgIr after structural relaxation at the GGA-PBE level of DFT.

Output
Formation energy from the elements = -2.33 eV per formula unit
Total moment = 0.000 μB/f.u.
SG = P-1, No. 2

a b c (Å): 6.7986 6.7991 6.8336
angles (deg): 59.90 59.57 89.73
Positions (direct):
Ac  0.6940  0.3007  0.3937
Ac  0.3060  0.6993  0.6063
Zn  0.1384  0.2550  0.4915
Zn  0.7476  0.8580  0.8867
Zn  0.2577  0.7494  0.1119
Zn  0.7423  0.2506  0.8881
Zn  0.2524  0.1420  0.1133
Zn  0.8616  0.7450  0.5085
Ag  0.0000  0.0000  0.0000
Ir  0.5000  0.5000  0.0000

(7)
Computed, not measured: V2Cu2Pt7 after structural relaxation at the GGA-PBE level of DFT.

Output
Formation energy from the elements = -0.25 eV per formula unit
Total moment = 2.543 μB/f.u.
SG = C2/m, No. 12

a b c (Å): 5.9558 5.0029 5.9558
angles (deg): 84.89 98.99 95.11
Last column: magnetic moment on the atom in μB.
Positions (direct):
V  0.8068  0.5000  0.8068  1.15
V  0.1932  0.5000  0.1932  1.15
Cu  0.7691  0.2590  0.2309  0.04
Cu  0.2309  0.7410  0.7691  0.04
Pt  0.0475  0.2474  0.5880  -0.04
Pt  0.5880  0.7526  0.0475  -0.04
Pt  0.9525  0.7526  0.4120  -0.04
Pt  0.4120  0.2474  0.9525  -0.04
Pt  0.0000  0.0000  0.0000  0.00
Pt  0.5162  0.7568  0.4838  -0.01
Pt  0.4838  0.2432  0.5162  -0.01

(8)
Computed, not measured: InHg5 after structural relaxation at the GGA-PBE level of DFT.

Output
E above lowest polymorph = 78 meV per atom
Formation energy from the elements = 0.45 eV per formula unit
Total moment = 0.000 μB/f.u.
SG = F-43m, No. 216

a b c (Å): 6.2158 6.2158 6.2158
angles (deg): 60.00 60.00 60.00
Positions (direct):
Hg  0.7500  0.7500  0.7500
Hg  0.3751  0.3751  0.8747
Hg  0.3751  0.3751  0.3751
Hg  0.8747  0.3751  0.3751
Hg  0.3751  0.8747  0.3751
In  0.0000  0.0000  0.0000

(9)
Computed, not measured: Tb3Te2Se2 after structural relaxation at the GGA-PBE level of DFT.

Output
Raw formation energy = -1.574 eV per atom
E above lowest polymorph = 79 meV per atom
Total moment = 0.000 μB/f.u.
SG = C2/m, No. 12

a b c (Å): 4.1334 6.2868 8.5855
angles (deg): 93.48 103.93 90.00
Positions (direct):
Tb  0.0000  0.0000  0.0000
Tb  0.1852  0.7389  0.3704
Tb  0.8148  0.2611  0.6296
Te  0.1746  0.2414  0.3493
Te  0.8254  0.7586  0.6507
Se  0.4315  0.2508  0.8630
Se  0.5685  0.7492  0.1370

(10)
Computed, not measured: ErPb6 after structural relaxation at the GGA-PBE level of DFT.

Output
Formation energy from the elements = 4.51 eV per formula unit
Total moment = 0.000 μB/f.u.
SG = Im-3m, No. 229

a b c (Å): 7.3978 7.3978 7.3978
angles (deg): 109.47 109.47 109.47
Positions (direct):
Er  0.0000  0.0000  0.0000
Pb  0.2500  0.7500  0.5000
Pb  0.5000  0.7500  0.2500
Pb  0.2500  0.5000  0.7500
Pb  0.7500  0.2500  0.5000
Pb  0.5000  0.2500  0.7500
Pb  0.7500  0.5000  0.2500

(11)
Computed, not measured: ReAg2Pb after structural relaxation at the GGA-PBE level of DFT.

Output
Formation energy from the elements = 2.98 eV per formula unit
Total moment = 0.000 μB/f.u.
SG = Pmmm, No. 47

a b c (Å): 3.1515 4.6881 5.0827
angles (deg): 90.00 90.00 90.00
Positions (direct):
Pb  0.5000  0.0000  0.5000
Re  0.0000  0.5000  0.5000
Ag  0.0000  0.0000  0.0000
Ag  0.5000  0.5000  0.0000

(12)
Computed, not measured: HgAu2Se2 after structural relaxation at the GGA-PBE level of DFT.

Output
Raw formation energy = 0.281 eV per atom
Total moment = 0.000 μB/f.u.
SG = I4/mmm, No. 139

a b c (Å): 3.9425 3.9425 7.7451
angles (deg): 75.26 75.26 90.00
Positions (direct):
Au  0.4081  0.4081  0.1838
Au  0.5919  0.5919  0.8162
Hg  0.0000  0.0000  0.0000
Se  0.7500  0.2500  0.5000
Se  0.2500  0.7500  0.5000

(13)
Computed, not measured: Er2Ni9Ir after structural relaxation at the GGA-PBE level of DFT.

Output
Formation energy from the elements = -1.61 eV per formula unit
Total moment = 4.181 μB/f.u.
SG = R-3m, No. 166

a b c (Å): 4.8652 4.8652 8.4170
angles (deg): 73.20 73.20 60.00
Last column: magnetic moment on the atom in μB.
Positions (direct):
Er  0.8674  0.8674  0.3978  -0.12
Er  0.1326  0.1326  0.6022  -0.12
Ni  0.6667  0.6667  0.9998  0.66
Ni  0.3333  0.3333  0.0002  0.66
Ni  0.5000  0.5000  0.5000  0.24
Ni  0.4178  0.4178  0.2445  0.38
Ni  0.9200  0.4178  0.2445  0.38
Ni  0.4178  0.9200  0.2445  0.38
Ni  0.5822  0.5822  0.7555  0.38
Ni  0.5822  0.0800  0.7555  0.38
Ni  0.0800  0.5822  0.7555  0.38
Ir  0.0000  0.0000  0.0000  0.77

(14)
Computed, not measured: Cd2Cu7Sb2Au after structural relaxation at the GGA-PBE level of DFT.

Output
Raw formation energy = 0.112 eV per atom
Total moment = 0.000 μB/f.u.
SG = C2/m, No. 12

a b c (Å): 3.6594 3.6594 15.8358
angles (deg): 83.50 83.50 90.09
Positions (direct):
Cd  0.6274  0.6274  0.7415
Cd  0.3726  0.3726  0.2585
Cu  0.5000  0.5000  0.0000
Cu  0.2785  0.2785  0.4501
Cu  0.7215  0.7215  0.5499
Cu  0.9377  0.4380  0.1261
Cu  0.4380  0.9377  0.1261
Cu  0.5620  0.0623  0.8739
Cu  0.0623  0.5620  0.8739
Sb  0.8116  0.8116  0.3817
Sb  0.1884  0.1884  0.6183
Au  0.0000  0.0000  0.0000

(15)
Computed, not measured: CuTe3 after structural relaxation at the GGA-PBE level of DFT.

Output
Raw formation energy = 0.063 eV per atom
Total moment = 0.000 μB/f.u.
SG = Cmmm, No. 65

a b c (Å): 4.0630 5.2330 5.2305
angles (deg): 68.15 90.00 90.00
Positions (direct):
Cu  0.0000  0.0000  0.0000
Te  0.5000  0.7900  0.7900
Te  0.0000  0.5000  0.5000
Te  0.5000  0.2100  0.2100

(16)
Computed, not measured: AlZnFe2 after structural relaxation at the GGA-PBE level of DFT.

Output
Formation energy from the elements = -0.28 eV per formula unit
Total moment = 3.791 μB/f.u.
SG = P4mm, No. 99

a b c (Å): 2.9271 2.9292 5.9920
angles (deg): 90.00 90.00 90.00
Last column: magnetic moment on the atom in μB.
Positions (direct):
Zn  0.0000  0.0000  0.4789  -0.06
Fe  0.0000  0.0000  0.0158  1.74
Fe  0.5000  0.5000  0.2270  2.25
Al  0.5000  0.5000  0.7783  -0.03

(17)
Computed, not measured: SrAlCr2 after structural relaxation at the GGA-PBE level of DFT.

Output
Formation energy from the elements = 3.33 eV per formula unit
Total moment = 4.333 μB/f.u.
SG = I4_1/amd, No. 141

a b c (Å): 4.5965 4.5965 9.8133
angles (deg): 76.46 76.46 90.00
Last column: magnetic moment on the atom in μB.
Positions (direct):
Sr  0.0000  0.0000  0.0000  0.01
Sr  0.7500  0.2500  0.5000  0.01
Al  0.5000  0.5000  0.0000  -0.06
Al  0.2500  0.7500  0.5000  -0.06
Cr  0.3748  0.1250  0.2500  1.71
Cr  0.3752  0.6250  0.2500  1.71
Cr  0.3750  0.6252  0.7500  2.25
Cr  0.8750  0.6248  0.7500  2.20

(18)
Computed, not measured: Al3Se after structural relaxation at the GGA-PBE level of DFT.

Output
Raw formation energy = 0.239 eV per atom
Total moment = 0.000 μB/f.u.
SG = Fm-3m, No. 225

a b c (Å): 4.7337 4.7337 4.7337
angles (deg): 60.00 60.00 60.00
Positions (direct):
Al  0.0000  0.0000  0.0000
Al  0.2500  0.2500  0.2500
Al  0.5000  0.5000  0.5000
Se  0.7500  0.7500  0.7500